Cs2TaCl6 after structural relaxation, computed with GGA-PBEsol.

CIF file:
```
data_Cs2TaCl6
_space_group_name_H-M_alt 'F m -3 m'
_space_group_IT_number 225
_space_group_name_Hall '-F 4 2 3'
_cell_length_a 10.219
_cell_length_b 10.219
_cell_length_c 10.219
_cell_angle_alpha 90.00
_cell_angle_beta 90.00
_cell_angle_gamma 90.00
loop_
_atom_site_label
_atom_site_type_symbol
_atom_site_fract_x
_atom_site_fract_y
_atom_site_fract_z
Cs1 Cs 0.250 0.250 0.250
Ta1 Ta 0.000 0.000 0.000
Cl1 Cl 0.000 0.000 0.235
```

Output
Energy relative to the elements, uncorrected in eV per atom: -1.669
E in eV/atom: -4.612



HoZrCo4 after structural relaxation, computed with GGA-PBEsol.

CIF file:
```
data_HoZrCo4
_space_group_name_H-M_alt 'F -4 3 m'
_space_group_IT_number 216
_space_group_name_Hall 'F -4 2 3'
_cell_length_a 6.868
_cell_length_b 6.868
_cell_length_c 6.868
_cell_angle_alpha 90.00
_cell_angle_beta 90.00
_cell_angle_gamma 90.00
loop_
_atom_site_label
_atom_site_type_symbol
_atom_site_fract_x
_atom_site_fract_y
_atom_site_fract_z
Ho1 Ho 0.000 0.000 0.000
Zr1 Zr 0.250 0.250 0.250
Co1 Co 0.125 0.125 0.625
```

Output
ΔE_f in eV per formula unit: -1.7
E in eV/atom: -7.781



Mg2ZrBe after structural relaxation, computed with GGA-PBEsol.

CIF file:
```
data_Mg2ZrBe
_space_group_name_H-M_alt 'R 3 m'
_space_group_IT_number 160
_space_group_name_Hall 'R 3 -2"'
_cell_length_a 2.9989
_cell_length_b 2.9989
_cell_length_c 29.1627
_cell_angle_alpha 90.00
_cell_angle_beta 90.00
_cell_angle_gamma 120.00
loop_
_atom_site_label
_atom_site_type_symbol
_atom_site_fract_x
_atom_site_fract_y
_atom_site_fract_z
Mg1 Mg 0.0000 0.0000 0.0000
Mg2 Mg 0.0000 0.0000 0.2396
Zr1 Zr 0.0000 0.0000 0.7600
Be1 Be 0.0000 0.0000 0.5014
```

Output
ΔE_f in eV per formula unit: 1.1
E in eV/atom: -3.865



CrCo3Ir after structural relaxation, computed with GGA-PBEsol.

CIF file:
```
data_CrCo3Ir
_space_group_name_H-M_alt 'P m -3 m'
_space_group_IT_number 221
_space_group_name_Hall '-P 4 2 3'
_cell_length_a 4.026
_cell_length_b 4.026
_cell_length_c 4.026
_cell_angle_alpha 90.00
_cell_angle_beta 90.00
_cell_angle_gamma 90.00
loop_
_atom_site_label
_atom_site_type_symbol
_atom_site_fract_x
_atom_site_fract_y
_atom_site_fract_z
Cr1 Cr 0.000 0.000 0.000
Co1 Co 0.000 0.000 0.500
Ir1 Ir 0.500 0.500 0.500
```

Output
ΔE_f in eV per formula unit: 6.7
E in eV/atom: -7.315



BaCrBr2 after structural relaxation, computed with GGA-PBEsol.

CIF file:
```
data_BaCrBr2
_space_group_name_H-M_alt 'P 4/m m m'
_space_group_IT_number 123
_space_group_name_Hall '-P 4 2'
_cell_length_a 5.145
_cell_length_b 5.145
_cell_length_c 4.135
_cell_angle_alpha 90.00
_cell_angle_beta 90.00
_cell_angle_gamma 90.00
loop_
_atom_site_label
_atom_site_type_symbol
_atom_site_fract_x
_atom_site_fract_y
_atom_site_fract_z
Ba1 Ba 0.000 0.000 0.000
Cr1 Cr 0.500 0.500 0.000
Br1 Br 0.000 0.500 0.500
```

Output
Energy relative to the elements, uncorrected in eV per atom: -0.646
E in eV/atom: -4.679



Ca2SbPb after structural relaxation, computed with GGA-PBEsol.

CIF file:
```
data_Ca2SbPb
_space_group_name_H-M_alt 'P 4/m m m'
_space_group_IT_number 123
_space_group_name_Hall '-P 4 2'
_cell_length_a 5.641
_cell_length_b 5.641
_cell_length_c 3.556
_cell_angle_alpha 90.00
_cell_angle_beta 90.00
_cell_angle_gamma 90.00
loop_
_atom_site_label
_atom_site_type_symbol
_atom_site_fract_x
_atom_site_fract_y
_atom_site_fract_z
Ca1 Ca 0.000 0.500 0.000
Sb1 Sb 0.000 0.000 0.500
Pb1 Pb 0.500 0.500 0.500
```

Output
Energy relative to the elements, uncorrected in eV per atom: -0.657
E in eV/atom: -3.862



> Among the records above, which one has the highest E?

Ca2SbPb